Record 1
Compound: SmGdScCu
Source: Alexandria
Functional: PBE-GGA
Structure: relaxed

It has space group F-43m (No. 216), with a = 7.3711 Å, b = 7.3711 Å, c = 7.3711 Å, α = 90.00°, β = 90.00° and γ = 90.00°. The distinct sites, in fractional coordinates, are Sm at (0.0000, 0.0000, 0.0000), Gd at (0.0000, 0.0000, 0.5000), Sc at (0.2500, 0.2500, 0.7500) and Cu at (0.2500, 0.2500, 0.2500).

For the calculated density, the calculation gives 6.9 g/cm³. As for the electronic total energy: -7.176 eV/atom. The calculated volume comes out at 401 Å³ per cell.

---

Record 2
Compound: GdScCuSn
Source: Alexandria
Functional: PBE-GGA
Structure: relaxed

It has space group F-43m (No. 216), with a = 7.1130 Å, b = 7.1130 Å, c = 7.1130 Å, α = 90.00°, β = 90.00° and γ = 90.00°. The distinct sites, in fractional coordinates, are Gd at (0.0000, 0.0000, 0.0000), Sc at (0.0000, 0.0000, 0.5000), Cu at (0.2500, 0.2500, 0.2500) and Sn at (0.2500, 0.2500, 0.7500).

For the calculated density, the calculation gives 7.1 g/cm³. As for the electronic total energy: -7.546 eV/atom. The calculated volume comes out at 360 Å³ per cell.

---

Record 3
Compound: GdScTlCu
Source: Alexandria
Functional: PBE-GGA
Structure: relaxed

It has space group F-43m (No. 216), with a = 7.1681 Å, b = 7.1681 Å, c = 7.1681 Å, α = 90.00°, β = 90.00° and γ = 90.00°. The distinct sites, in fractional coordinates, are Gd at (0.0000, 0.0000, 0.0000), Sc at (0.0000, 0.0000, 0.5000), Tl at (0.2500, 0.2500, 0.2500) and Cu at (0.2500, 0.2500, 0.7500).

For the calculated density, the calculation gives 8.5 g/cm³. As for the electronic total energy: -6.939 eV/atom. The calculated volume comes out at 368 Å³ per cell.

---

Record 4
Compound: GdTmScCu
Source: Alexandria
Functional: PBE-GGA
Structure: relaxed

It has space group F-43m (No. 216), with a = 7.2731 Å, b = 7.2731 Å, c = 7.2731 Å, α = 90.00°, β = 90.00° and γ = 90.00°. The distinct sites, in fractional coordinates, are Gd at (0.0000, 0.0000, 0.0000), Tm at (0.0000, 0.0000, 0.5000), Sc at (0.2500, 0.2500, 0.7500) and Cu at (0.2500, 0.2500, 0.2500).

For the calculated density, the calculation gives 7.5 g/cm³. As for the electronic total energy: -7.122 eV/atom. The calculated volume comes out at 385 Å³ per cell.

---

Record 5
Compound: GdYScCu
Source: Alexandria
Functional: PBE-GGA
Structure: relaxed

It has space group F-43m (No. 216), with a = 7.3305 Å, b = 7.3305 Å, c = 7.3305 Å, α = 90.00°, β = 90.00° and γ = 90.00°. The distinct sites, in fractional coordinates, are Gd at (0.0000, 0.0000, 0.0000), Y at (0.0000, 0.0000, 0.5000), Sc at (0.2500, 0.2500, 0.2500) and Cu at (0.2500, 0.2500, 0.7500).

For the calculated density, the calculation gives 6.0 g/cm³. As for the electronic total energy: -7.615 eV/atom. The calculated volume comes out at 394 Å³ per cell.

---

Record 6
Compound: GdCu5Se4
Source: Alexandria
Functional: PBE-GGA
Structure: relaxed

It has space group C2/m (No. 12), with a = 15.0415 Å, b = 4.0905 Å, c = 6.7768 Å, α = 90.00°, β = 116.44° and γ = 90.00°. The distinct sites, in fractional coordinates, are Gd at (0.0000, 0.0000, 0.0000), Cu at (0.0000, 0.5000, 0.5000), Cu at (0.1903, 0.5000, 0.3588), Cu at (0.1997, 0.0000, 0.8719), Se at (0.1188, 0.5000, 0.9294) and Se at (0.1226, 0.0000, 0.4641).

For the calculated density, the calculation gives 7.0 g/cm³. As for the electronic total energy: -5.311 eV/atom. As for the raw formation energy: -4.608 eV per formula unit. The calculated volume comes out at 373 Å³ per cell.